No. 1
Here is MnNbRu2Pb after structural relaxation from the Alexandria database. Energies are from PBE.

As for the formation energy: 0.875 eV/atom. As for the magnetic moment: 0.0 μB per formula unit. The density of states at the Fermi level comes out at 1.46 states/eV per atom.

```
MnNbRu2Pb
1.0
4.4849 0.0000 0.0000
0.0000 4.4849 0.0000
0.0000 0.0000 4.6417
Mn Nb Ru Pb
1 1 2 1
Direct
0.0000 0.0000 0.0000
0.0000 0.0000 0.5000
0.0000 0.5000 0.0000
0.5000 0.0000 0.0000
0.5000 0.5000 0.5000
```

---

No. 2
Here is Mn2NbTePb after structural relaxation from the Alexandria database. Energies are from PBE.

As for the magnetic moment: 0.0 μB per formula unit. As for the uncorrected formation energy: 1.375 eV/atom. The density of states at the Fermi level comes out at 2.67 states/eV per atom.

```
Mn2NbTePb
1.0
4.6384 0.0000 0.0000
0.0000 4.6384 0.0000
0.0000 0.0000 5.1806
Mn Nb Te Pb
2 1 1 1
Direct
0.0000 0.5000 0.0000
0.5000 0.0000 0.0000
0.0000 0.0000 0.5000
0.0000 0.0000 0.0000
0.5000 0.5000 0.5000
```

---

No. 3
Here is Mn3NbPd after structural relaxation from the Alexandria database. Energies are from PBE.

As for the formation energy: 1.760 eV/atom. Its energy above the lowest structure with this stoichiometry is 0 meV/atom. As for the magnetic moment: 0.2 μB per formula unit. The density of states at the Fermi level comes out at 2.16 states/eV per atom.

```
Mn3NbPd
1.0
4.4232 0.0000 0.0000
0.0000 4.4232 0.0000
0.0000 0.0000 4.4232
Mn Nb Pd
3 1 1
Direct
0.0000 0.0000 0.5000
0.0000 0.5000 0.0000
0.5000 0.0000 0.0000
0.0000 0.0000 0.0000
0.5000 0.5000 0.5000
```

---

No. 4
Here is MnNb2Pd after structural relaxation from the Alexandria database. Energies are from PBE.

As for the formation energy: 0.019 eV/atom. Its energy above the lowest structure with this stoichiometry is 174 meV/atom. As for the magnetic moment: 0.2 μB per formula unit. The density of states at the Fermi level comes out at 1.16 states/eV per atom.

```
MnNb2Pd
1.0
4.5199 0.0000 0.0000
0.0000 4.5199 0.0000
0.0000 0.0000 3.1054
Mn Nb Pd
1 2 1
Direct
0.0000 0.0000 0.0000
0.0000 0.5000 0.5000
0.5000 0.0000 0.5000
0.5000 0.5000 0.0000
```

---

No. 5
Here is MnNb3Pd after structural relaxation from the Alexandria database. Energies are from PBE.

As for the formation energy: 1.795 eV/atom. Its energy above the lowest structure with this stoichiometry is 1134 meV/atom. As for the magnetic moment: 0.0 μB per formula unit. The density of states at the Fermi level comes out at 2.06 states/eV per atom.

```
MnNb3Pd
1.0
4.7989 0.0000 0.0000
0.0000 4.7989 0.0000
0.0000 0.0000 4.7989
Mn Nb Pd
1 3 1
Direct
0.0000 0.0000 0.0000
0.0000 0.5000 0.5000
0.5000 0.0000 0.5000
0.5000 0.5000 0.0000
0.5000 0.5000 0.5000
```

---

No. 6
Here is MnNb3Pd after structural relaxation from the Alexandria database. Energies are from PBE.

As for the formation energy: 0.661 eV/atom. Its energy above the lowest structure with this stoichiometry is 0 meV/atom. As for the magnetic moment: 0.0 μB per formula unit. The density of states at the Fermi level comes out at 1.28 states/eV per atom.

```
MnNb3Pd
1.0
4.5579 0.0000 0.0000
0.0000 4.5579 0.0000
0.0000 0.0000 4.5579
Mn Nb Pd
1 3 1
Direct
0.0000 0.0000 0.0000
0.0000 0.0000 0.5000
0.0000 0.5000 0.0000
0.5000 0.0000 0.0000
0.5000 0.5000 0.5000
```

---

No. 7
Here is MnNb2Pd8 after structural relaxation from the Alexandria database. Energies are from PBE.

As for the formation energy: -0.245 eV/atom. As for the magnetic moment: 4.2 μB per formula unit. The density of states at the Fermi level comes out at 0.73 states/eV per atom.

```
MnNb2Pd8
1.0
-2.2313 3.0195 6.5696
2.2313 -3.0195 6.5696
2.2313 3.0195 -6.5696
Mn Nb Pd
1 2 8
Direct
0.0000 0.0000 0.0000
0.3058 0.3058 0.0000
0.6942 0.6942 0.0000
0.1368 0.8606 0.2762
0.1746 0.6746 0.5000
0.2716 0.5000 0.7716
0.4156 0.1394 0.2762
0.5844 0.8606 0.7238
0.7284 0.5000 0.2284
0.8254 0.3254 0.5000
0.8632 0.1394 0.7238
```

---

No. 8
Here is MnNbPd after structural relaxation from the Alexandria database. Energies are from PBE.

As for the formation energy: -0.060 eV/atom. Its energy above the lowest structure with this stoichiometry is 48 meV/atom. As for the magnetic moment: 2.5 μB per formula unit. The density of states at the Fermi level comes out at 0.94 states/eV per atom.

```
MnNbPd
1.0
6.3681 0.0000 0.0000
0.0000 3.7902 0.0000
-2.5178 0.0000 11.6245
Mn Nb Pd
6 6 6
Direct
0.0371 0.2500 0.1946
0.3658 0.2500 0.5218
0.4165 0.7500 0.9178
0.5835 0.2500 0.0822
0.6342 0.7500 0.4782
0.9629 0.7500 0.8054
0.0916 0.7500 0.5852
0.1500 0.2500 0.9675
0.4666 0.2500 0.3085
0.5334 0.7500 0.6915
0.8500 0.7500 0.0325
0.9084 0.2500 0.4148
0.1907 0.7500 0.3586
0.2508 0.2500 0.7507
0.3087 0.7500 0.1398
0.6913 0.2500 0.8602
0.7492 0.7500 0.2493
0.8093 0.2500 0.6414
```